VASP calculation (PBE) on a geometry-optimized Be2NbHPt structure.

As for the calculated volume: 10.94 A^3/atom. Its final energy is -5.5539 eV per atom. As for the space group: P4/mmm, No. 123. As for the crystal system: tetragonal.

Cell: 3.8705 3.8705 3.6505 Å, 90.00 90.00 90.00°
Element x y z (fractional)
1 Be 0.0000 0.5000 0.0000
2 Be 0.5000 0.0000 0.0000
3 Nb 0.0000 0.0000 0.5000
4 Pt 0.5000 0.5000 0.5000
5 H 0.0000 0.0000 0.0000

VASP calculation (PBE) on a geometry-optimized VRe2MoPd structure.

As for the calculated volume: 20.10 A^3/atom. Its final energy is -7.5259 eV per atom. As for the space group: P4/mmm, No. 123. As for the crystal system: tetragonal.

Cell: 4.6649 4.6649 4.6176 Å, 90.00 90.00 90.00°
Element x y z (fractional)
1 Re 0.0000 0.5000 0.0000
2 Re 0.5000 0.0000 0.0000
3 Mo 0.0000 0.0000 0.5000
4 Pd 0.0000 0.0000 0.0000
5 V 0.5000 0.5000 0.5000

VASP calculation (PBE) on a geometry-optimized ZrV3Hg structure.

As for the calculated volume: 20.77 A^3/atom. As for the space group: Pm-3m, No. 221. As for the crystal system: cubic. Its energy above the lowest structure with this stoichiometry is 0.0 kJ per mole of atoms.

Cell: 4.7008 4.7008 4.7008 Å, 90.00 90.00 90.00°
Element x y z (fractional)
1 Hg 0.5000 0.5000 0.5000
2 Zr 0.0000 0.0000 0.0000
3 V 0.0000 0.5000 0.0000
4 V 0.0000 0.0000 0.5000
5 V 0.5000 0.0000 0.0000

Copy entry 1 word for word.
VASP calculation (PBE) on a geometry-optimized Be2NbHPt structure.

As for the calculated volume: 10.94 A^3/atom. Its final energy is -5.5539 eV per atom. As for the space group: P4/mmm, No. 123. As for the crystal system: tetragonal.

Cell: 3.8705 3.8705 3.6505 Å, 90.00 90.00 90.00°
Element x y z (fractional)
1 Be 0.0000 0.5000 0.0000
2 Be 0.5000 0.0000 0.0000
3 Nb 0.0000 0.0000 0.5000
4 Pt 0.5000 0.5000 0.5000
5 H 0.0000 0.0000 0.0000

> Which formula does entry 2 have?

VRe2MoPd